DFT (GGA+U) results for crystalline Ce2Fe2S2O3 at its relaxed geometry.

POSCAR file:
```
Ce2Fe2S2O3
1.0
-0.507 6.913 6.157
-5.623 6.400 3.657
2.264 -8.514 -2.887
Fe Ce S O
2 2 2 3
Direct
0.000 0.500 0.500
0.500 0.000 0.500
0.319 0.319 0.000
0.681 0.681 0.000
0.902 0.902 0.000
0.098 0.098 0.000
0.750 0.250 0.500
0.500 0.500 0.000
0.250 0.750 0.500
```

Computed properties:
**E**: -0.5304 Ry per atom

=====

DFT (GGA+U) results for crystalline Ce2FeS2O2 at its relaxed geometry.

POSCAR file:
```
Ce2FeS2O2
1.0
3.827 0.000 0.000
1.913 5.632 -0.014
1.913 2.105 5.839
Ce Fe O S
2 1 2 2
Direct
0.816 0.644 0.725
0.184 0.356 0.275
0.000 0.000 0.000
0.801 0.311 0.087
0.199 0.689 0.913
0.440 0.803 0.318
0.560 0.197 0.682
```

Computed properties:
**E**: -0.5395 Ry per atom

=====

DFT (GGA+U) results for crystalline CeFe2SnO6 at its relaxed geometry.

POSCAR file:
```
CeFe2SnO6
1.0
-1.500 1.649 -5.093
-5.407 -0.478 1.438
-0.025 7.711 2.470
O Sn Fe Ce
12 2 4 2
Direct
0.868 0.615 0.232
0.172 0.159 0.452
0.342 0.686 0.404
0.828 0.841 0.548
0.132 0.385 0.768
0.672 0.341 0.952
0.658 0.314 0.596
0.842 0.814 0.904
0.632 0.115 0.268
0.328 0.659 0.048
0.368 0.885 0.732
0.158 0.186 0.096
0.000 0.500 0.000
0.500 0.000 0.500
0.988 0.971 0.269
0.012 0.029 0.731
0.512 0.471 0.231
0.488 0.529 0.769
0.000 0.500 0.500
0.500 0.000 0.000
```

Computed properties:
**E**: -0.5205 Ry per atom

=====

DFT (GGA+U) results for crystalline Sr2CeFeO6 at its relaxed geometry.

POSCAR file:
```
Sr2CeFeO6
1.0
-2.033 5.139 -1.896
-5.327 -2.223 -0.312
2.995 -0.358 4.952
O Fe Sr Ce
6 1 2 1
Direct
0.660 0.229 0.458
0.770 0.801 0.075
0.770 0.274 0.075
0.340 0.771 0.542
0.230 0.199 0.925
0.230 0.726 0.925
0.500 0.000 0.000
0.755 0.747 0.494
0.245 0.253 0.506
0.000 0.500 0.000
```

Computed properties:
**E**: -0.5083 Ry per atom

=====

DFT (GGA+U) results for crystalline Sr3CeFe2O9 at its relaxed geometry.

POSCAR file:
```
Sr3CeFe2O9
1.0
-1.949 -5.275 -0.950
2.791 2.792 -4.115
6.226 -2.727 2.372
O Fe Sr Ce
9 2 3 1
Direct
0.173 0.827 0.312
0.827 0.173 0.688
0.500 0.000 0.000
0.500 0.500 0.000
0.827 0.654 0.688
0.654 0.827 0.312
0.173 0.346 0.312
0.346 0.173 0.688
0.000 0.500 0.000
0.667 0.333 0.841
0.333 0.667 0.159
0.000 0.000 0.000
0.333 0.667 0.707
0.667 0.333 0.293
0.000 0.000 0.500
```

Computed properties:
**E**: -0.4964 Ry per atom

=====

DFT (GGA+U) results for crystalline CeTaFe2O6 at its relaxed geometry.

POSCAR file:
```
CeTaFe2O6
1.0
-5.409 -0.376 -0.159
-2.502 -4.076 2.556
-2.860 1.221 4.902
O Fe Ce Ta
6 2 1 1
Direct
0.596 0.234 0.228
0.368 0.716 0.766
0.150 0.369 0.766
0.709 0.159 0.757
0.247 0.936 0.230
0.947 0.589 0.227
0.012 0.011 0.964
0.520 0.530 0.431
0.797 0.799 0.599
0.317 0.320 0.047
```

Computed properties:
**E**: -0.5942 Ry per atom

=====

DFT (GGA+U) results for crystalline CeVFe2O6 at its relaxed geometry.

POSCAR file:
```
CeVFe2O6
1.0
5.293 -0.036 0.020
2.616 4.625 0.051
2.655 1.572 4.818
O Ce Fe V
6 1 2 1
Direct
0.580 0.237 0.225
0.152 0.383 0.761
0.216 0.942 0.242
0.385 0.717 0.765
0.936 0.591 0.231
0.716 0.132 0.766
0.810 0.807 0.587
0.533 0.518 0.426
0.013 0.008 0.969
0.321 0.325 0.044
```

Computed properties:
**E**: -0.5425 Ry per atom

=====

DFT (GGA+U) results for crystalline Ce2VFeO6 at its relaxed geometry.

POSCAR file:
```
Ce2VFeO6
1.0
-0.835 -1.357 -5.596
2.388 -4.860 0.822
-4.578 -7.855 2.588
Ce V O Fe
4 2 12 2
Direct
0.569 0.727 0.751
0.069 0.273 0.749
0.431 0.273 0.249
0.931 0.727 0.251
0.000 0.000 0.500
0.500 0.000 0.000
0.317 0.365 0.941
0.683 0.635 0.059
0.203 0.763 0.060
0.458 0.128 0.751
0.183 0.365 0.441
0.297 0.763 0.560
0.542 0.872 0.249
0.817 0.635 0.559
0.958 0.872 0.749
0.703 0.237 0.440
0.042 0.128 0.251
0.797 0.237 0.940
0.500 0.500 0.500
0.000 0.500 0.000
```

Computed properties:
**E**: -0.6000 Ry per atom

=====

DFT (GGA+U) results for crystalline CeZrFe2O6 at its relaxed geometry.

POSCAR file:
```
CeZrFe2O6
1.0
5.457 0.001 0.001
2.729 4.729 -0.050
2.730 1.527 4.869
O Zr Fe Ce
6 1 2 1
Direct
0.920 0.616 0.240
0.393 0.717 0.747
0.728 0.128 0.759
0.608 0.234 0.242
0.226 0.927 0.234
0.133 0.387 0.756
0.313 0.314 0.060
0.015 0.012 0.960
0.515 0.525 0.432
0.811 0.803 0.584
```

Computed properties:
**E**: -0.5800 Ry per atom

=====

Looking at size of the total moment for the records above, in order, we have 5.99; 6.01; 16.00; 2.06; 7.95; 2.99; 4.99; 14.10; 4.02 μB/cell.